Compound: Ba6Na3Hg
Source: Alexandria via LeMat-Bulk
Functional: PBE-GGA
Structure: relaxed

Lattice parameters (Å, degrees): 6.4902 11.3419 13.8805 90.00 89.99 90.00
Last column: nearest neighbours and their distance in Å.
Sites, in units of the cell vectors:
Ba1 0.5002 0.1512 0.9234  2 Hg 3.82, 5 Ba 4.04-4.27, 1 Na 4.10
Ba2 0.5001 0.1900 0.5756  1 Hg 3.67, 2 Na 4.03-4.04
Ba3 0.5004 0.4905 0.2606  1 Hg 3.32, 1 Na 3.62
Ba4 0.4996 0.5095 0.7394  1 Hg 3.32, 1 Na 3.62
Ba5 0.4999 0.8100 0.4244  1 Hg 3.67, 2 Na 4.03-4.04
Ba6 0.4998 0.8488 0.0766  2 Hg 3.82, 5 Ba 4.04-4.27, 1 Na 4.10
Ba7 0.0002 0.3488 0.4234  2 Hg 3.82, 5 Ba 4.04-4.27, 1 Na 4.10
Ba8 0.0001 0.3100 0.0756  1 Hg 3.67, 2 Na 4.03-4.04
Ba9 0.0004 0.0095 0.7606  1 Hg 3.32, 1 Na 3.62
Ba10 0.9996 0.9905 0.2394  1 Hg 3.32, 1 Na 3.62
Ba11 0.9999 0.6900 0.9244  1 Hg 3.67, 2 Na 4.03-4.04
Ba12 0.9998 0.6512 0.5766  2 Hg 3.82, 5 Ba 4.04-4.27, 1 Na 4.10
Na1 0.5006 0.8411 0.7377  3 Ba 3.76-3.78
Na2 0.5000 0.5000 0.0000  6 Ba 3.62-4.04
Na3 0.4994 0.1589 0.2623  3 Ba 3.76-3.78
Na4 0.0006 0.6589 0.2377  3 Ba 3.76-3.78
Na5 0.0000 0.0000 0.5000  6 Ba 3.62-4.04
Na6 0.9994 0.3411 0.7623  3 Ba 3.76-3.78
Hg1 0.5000 0.5000 0.5000  4 Ba 3.32-3.67
Hg2 0.0000 0.0000 0.0000  4 Ba 3.32-3.67

Symmetry: Pnnm (58)


Compound: BaNa8Hg6
Source: Alexandria via LeMat-Bulk
Functional: PBE-GGA
Structure: relaxed

Lattice parameters (Å, degrees): 8.1848 8.1848 8.1848 71.41 71.41 71.41
Last column: nearest neighbours and their distance in Å.
Sites, in units of the cell vectors:
Ba1 0.0000 0.0000 0.0000  6 Hg 3.41
Na1 0.5727 0.7810 0.0516  4 Hg 3.09-3.40, 1 Na 3.31
Na2 0.7810 0.0516 0.5727  4 Hg 3.09-3.40, 1 Na 3.31
Na3 0.0516 0.5727 0.7810  4 Hg 3.09-3.40, 1 Na 3.31
Na4 0.4273 0.2190 0.9484  4 Hg 3.09-3.40, 1 Na 3.31
Na5 0.2190 0.9484 0.4273  4 Hg 3.09-3.40, 1 Na 3.31
Na6 0.9484 0.4273 0.2190  4 Hg 3.09-3.40, 1 Na 3.31
Na7 0.6141 0.6141 0.6141  6 Hg 3.30-3.32
Na8 0.3859 0.3859 0.3859  6 Hg 3.30-3.32
Hg1 0.9931 0.3047 0.6033  6 Na 3.09-3.40, 1 Hg 3.12, 1 Ba 3.41
Hg2 0.3047 0.6033 0.9931  6 Na 3.09-3.40, 1 Hg 3.12, 1 Ba 3.41
Hg3 0.6033 0.9931 0.3047  6 Na 3.09-3.40, 1 Hg 3.12, 1 Ba 3.41
Hg4 0.0069 0.6953 0.3967  6 Na 3.09-3.40, 1 Hg 3.12, 1 Ba 3.41
Hg5 0.6953 0.3967 0.0069  6 Na 3.09-3.40, 1 Hg 3.12, 1 Ba 3.41
Hg6 0.3967 0.0069 0.6953  6 Na 3.09-3.40, 1 Hg 3.12, 1 Ba 3.41

Symmetry: R-3 (148)


Compound: Ba2NaHg10
Source: Alexandria via LeMat-Bulk
Functional: PBE-GGA
Structure: relaxed

Lattice parameters (Å, degrees): 5.9483 13.5081 11.5223 90.00 90.00 90.00
Last column: nearest neighbours and their distance in Å.
Sites, in units of the cell vectors:
Ba1 0.5000 0.3384 0.8690  10 Hg 3.53-3.70
Ba2 0.5000 0.6616 0.1310  10 Hg 3.53-3.70
Ba3 0.5000 0.8384 0.6310  10 Hg 3.53-3.70
Ba4 0.5000 0.1616 0.3690  10 Hg 3.53-3.70
Na1 0.0000 0.5000 0.5000  8 Hg 3.09-3.25
Na2 0.0000 0.0000 0.0000  8 Hg 3.09-3.25
Hg1 0.0000 0.1086 0.5310  5 Hg 3.02-3.22
Hg2 0.0000 0.8914 0.4690  5 Hg 3.02-3.22
Hg3 0.0000 0.6086 0.9690  5 Hg 3.02-3.22
Hg4 0.0000 0.3914 0.0310  5 Hg 3.02-3.22
Hg5 0.0000 0.1821 0.8159  4 Hg 3.07-3.43, 1 Na 3.25
Hg6 0.0000 0.8179 0.1841  4 Hg 3.07-3.43, 1 Na 3.25
Hg7 0.2516 0.1948 0.0934  4 Hg 2.95-3.30, 1 Na 3.21
Hg8 0.2516 0.8052 0.9066  4 Hg 2.95-3.30, 1 Na 3.21
Hg9 0.7484 0.6948 0.4066  4 Hg 2.95-3.30, 1 Na 3.21
Hg10 0.7484 0.3052 0.5934  4 Hg 2.95-3.30, 1 Na 3.21
Hg11 0.7484 0.8052 0.9066  4 Hg 2.95-3.30, 1 Na 3.21
Hg12 0.7484 0.1948 0.0934  4 Hg 2.95-3.30, 1 Na 3.21
Hg13 0.2516 0.3052 0.5934  4 Hg 2.95-3.30, 1 Na 3.21
Hg14 0.2516 0.6948 0.4066  4 Hg 2.95-3.30, 1 Na 3.21
Hg15 0.0000 0.0345 0.2655  5 Hg 3.04-3.30, 1 Na 3.09
Hg16 0.0000 0.9655 0.7345  5 Hg 3.04-3.30, 1 Na 3.09
Hg17 0.0000 0.5345 0.2345  5 Hg 3.04-3.30, 1 Na 3.09
Hg18 0.0000 0.4655 0.7655  5 Hg 3.04-3.30, 1 Na 3.09
Hg19 0.0000 0.3179 0.3159  4 Hg 3.07-3.43, 1 Na 3.25
Hg20 0.0000 0.6821 0.6841  4 Hg 3.07-3.43, 1 Na 3.25

Symmetry: Pbam (55)


Compound: Ba3NaHg
Source: Alexandria via LeMat-Bulk
Functional: PBE-GGA
Structure: relaxed

Lattice parameters (Å, degrees): 6.6850 6.6850 6.6850 90.00 90.00 90.00
Last column: nearest neighbours and their distance in Å.
Sites, in units of the cell vectors:
Na1 0.5000 0.5000 0.5000  12 Ba 4.73
Hg1 0.0000 0.0000 0.0000  6 Ba 3.34
Ba1 0.0000 0.5000 0.0000  2 Hg 3.34
Ba2 0.0000 0.0000 0.5000  2 Hg 3.34
Ba3 0.5000 0.0000 0.0000  2 Hg 3.34

ΔE to the lowest computed polymorph in meV per atom: 48
Symmetry: Pm-3m (221)


Compound: BaNa12Hg7
Source: Alexandria via LeMat-Bulk
Functional: PBE-GGA
Structure: relaxed

Lattice parameters (Å, degrees): 8.6720 9.5311 9.5311 68.78 72.34 107.66
Last column: nearest neighbours and their distance in Å.
Sites, in units of the cell vectors:
Ba1 0.0000 0.0000 0.0000  6 Hg 3.74
Na1 0.7318 0.4641 0.2681  4 Hg 3.14-3.29, 2 Na 3.40
Na2 0.0001 0.7319 0.7322  4 Hg 3.14-3.29, 2 Na 3.40
Na3 0.4812 0.3239 0.9996  4 Hg 3.14-3.21, 1 Na 3.28
Na4 0.5192 0.0004 0.3235  4 Hg 3.14-3.21, 1 Na 3.28
Na5 0.7323 0.7322 0.5359  4 Hg 3.14-3.29, 2 Na 3.40
Na6 0.8427 0.3235 0.6761  4 Hg 3.14-3.21, 1 Na 3.28
Na7 0.1573 0.6765 0.3239  4 Hg 3.14-3.21, 1 Na 3.28
Na8 0.2677 0.2678 0.4641  4 Hg 3.14-3.29, 2 Na 3.40
Na9 0.4808 0.9996 0.6765  4 Hg 3.14-3.21, 1 Na 3.28
Na10 0.5188 0.6761 0.0004  4 Hg 3.14-3.21, 1 Na 3.28
Na11 0.9999 0.2681 0.2678  4 Hg 3.14-3.29, 2 Na 3.40
Na12 0.2682 0.5359 0.7319  4 Hg 3.14-3.29, 2 Na 3.40
Hg1 0.8533 0.3305 0.9997  7 Na 3.14-3.29, 1 Hg 3.46
Hg2 0.1470 0.0003 0.3302  7 Na 3.14-3.29, 1 Hg 3.46
Hg3 0.4772 0.3302 0.6695  7 Na 3.14-3.29, 1 Hg 3.46
Hg4 0.5000 0.0000 0.0000  6 Na 3.14
Hg5 0.5228 0.6698 0.3305  7 Na 3.14-3.29, 1 Hg 3.46
Hg6 0.8530 0.9997 0.6698  7 Na 3.14-3.29, 1 Hg 3.46
Hg7 0.1467 0.6695 0.0003  7 Na 3.14-3.29, 1 Hg 3.46

Symmetry: R-3m (166)


Compound: Ba12NaHg6
Source: Alexandria via LeMat-Bulk
Functional: PBE-GGA
Structure: relaxed

Lattice parameters (Å, degrees): 10.6357 10.6357 10.6357 109.47 109.47 109.47
Last column: nearest neighbours and their distance in Å.
Sites, in units of the cell vectors:
Ba1 0.3060 0.1264 0.8204  3 Hg 3.36-3.60
Ba2 0.3060 0.4856 0.1796  3 Hg 3.36-3.60
Ba3 0.6940 0.5144 0.8204  3 Hg 3.36-3.60
Ba4 0.6940 0.8736 0.1796  3 Hg 3.36-3.60
Ba5 0.1264 0.8204 0.3060  3 Hg 3.36-3.60
Ba6 0.4856 0.1796 0.3060  3 Hg 3.36-3.60
Ba7 0.5144 0.8204 0.6940  3 Hg 3.36-3.60
Ba8 0.8736 0.1796 0.6940  3 Hg 3.36-3.60
Ba9 0.8204 0.3060 0.1264  3 Hg 3.36-3.60
Ba10 0.1796 0.3060 0.4856  3 Hg 3.36-3.60
Ba11 0.8204 0.6940 0.5144  3 Hg 3.36-3.60
Ba12 0.1796 0.6940 0.8736  3 Hg 3.36-3.60
Na1 0.0000 0.0000 0.0000  12 Ba 4.36
Hg1 0.3724 0.5000 0.8724  1 Hg 3.13, 2 Ba 3.36
Hg2 0.6276 0.5000 0.1276  1 Hg 3.13, 2 Ba 3.36
Hg3 0.5000 0.8724 0.3724  1 Hg 3.13, 2 Ba 3.36
Hg4 0.5000 0.1276 0.6276  1 Hg 3.13, 2 Ba 3.36
Hg5 0.8724 0.3724 0.5000  1 Hg 3.13, 2 Ba 3.36
Hg6 0.1276 0.6276 0.5000  1 Hg 3.13, 2 Ba 3.36

Symmetry: Im-3 (204)


Compound: BaNa4Hg
Source: Alexandria via LeMat-Bulk
Functional: PBE-GGA
Structure: relaxed

Lattice parameters (Å, degrees): 4.9602 9.0764 10.1040 90.00 90.00 90.00
Last column: nearest neighbours and their distance in Å.
Sites, in units of the cell vectors:
Ba1 0.0000 0.5880 0.7500  1 Hg 3.44
Ba2 0.0000 0.4120 0.2500  1 Hg 3.44
Na1 0.0000 0.0000 0.5000  2 Hg 3.16
Na2 0.0000 0.0000 0.0000  2 Hg 3.16
Na3 0.5000 0.9607 0.7500  2 Hg 3.35, 6 Na 3.56-3.61
Na4 0.5000 0.0393 0.2500  2 Hg 3.35, 6 Na 3.56-3.61
Na5 0.5000 0.7014 0.0613  2 Hg 3.23, 1 Na 3.61
Na6 0.5000 0.2986 0.9387  2 Hg 3.23, 1 Na 3.61
Na7 0.5000 0.7014 0.4387  2 Hg 3.23, 1 Na 3.61
Na8 0.5000 0.2986 0.5613  2 Hg 3.23, 1 Na 3.61
Hg1 0.0000 0.2089 0.7500  8 Na 3.16-3.35, 1 Ba 3.44
Hg2 0.0000 0.7911 0.2500  8 Na 3.16-3.35, 1 Ba 3.44

ΔE to the lowest computed polymorph in meV per atom: 0
Symmetry: Pmma (51)


Compound: Ba3NaHg
Source: Alexandria via LeMat-Bulk
Functional: PBE-GGA
Structure: relaxed

Lattice parameters (Å, degrees): 5.7720 8.7075 10.6694 111.32 90.00 90.00
Last column: nearest neighbours and their distance in Å.
Sites, in units of the cell vectors:
Ba1 0.1955 0.0161 0.2173  1 Hg 3.39
Ba2 0.1955 0.3671 0.6756  3 Hg 3.54-3.70
Ba3 0.1955 0.7679 0.5471  3 Hg 3.52-3.56, 2 Na 3.87
Ba4 0.6955 0.0545 0.8785  3 Hg 3.54-3.70
Ba5 0.6955 0.6537 0.0070  3 Hg 3.52-3.56, 2 Na 3.87
Ba6 0.6955 0.4054 0.3368  1 Hg 3.39
Na1 0.6955 0.0104 0.4639  8 Ba 3.87-4.30
Na2 0.1955 0.4111 0.0902  8 Ba 3.87-4.30
Hg1 0.6955 0.6316 0.6713  7 Ba 3.39-3.70, 2 Hg 3.61
Hg2 0.1955 0.7900 0.8827  7 Ba 3.39-3.70, 2 Hg 3.61

ΔE to the lowest computed polymorph in meV per atom: 0
Symmetry: P2_1/m (11)


For reference, formation energy by record: -0.54, -3.25, -2.43, -0.64, -3.90, -5.53, -0.74, -0.88 eV per formula unit.